Here is a geometry-optimized Nb2Tl2NiS6 structure from Alexandria via LeMat-Bulk. Energies are from GGA-PBE.

Results
The calculation puts the volume at 22.4 A^3/atom. The value obtained for the formation energy from raw total energies is -0.62 eV per atom. The crystal system is monoclinic. The total DFT energy (no corrections) is -5.66 eV/atom.

abc: 6.0946 6.0946 7.9950
angles: 98.30 98.30 119.79
With the nearest neighbours (Å) after each atom.
Fractional positions:
1 Nb 0.1858 0.8142 0.0000  6 S 2.44-2.57
2 Nb 0.8142 0.1858 0.0000  6 S 2.44-2.57
3 Tl 0.3387 0.6613 0.5000  6 S 3.15-3.22, 1 Tl 3.40
4 Tl 0.6613 0.3387 0.5000  6 S 3.15-3.22, 1 Tl 3.40
5 Ni 0.5000 0.5000 0.0000  6 S 2.36-2.46
6 S 0.0990 0.4160 0.8074  2 Nb 2.44-2.52, 1 Ni 2.46
7 S 0.2382 0.2382 0.1662  1 Ni 2.36, 2 Nb 2.57
8 S 0.4160 0.0990 0.8074  2 Nb 2.44-2.52, 1 Ni 2.46
9 S 0.5840 0.9010 0.1926  2 Nb 2.44-2.52, 1 Ni 2.46
10 S 0.7618 0.7618 0.8338  1 Ni 2.36, 2 Nb 2.57
11 S 0.9010 0.5840 0.1926  2 Nb 2.44-2.52, 1 Ni 2.46

Here is a geometry-optimized CaTe2Rh structure from Alexandria via LeMat-Bulk. Energies are from GGA-PBE.

Results
The calculation puts the volume at 29.3 A^3/atom. The value obtained for the formation energy from raw total energies is -0.70 eV per atom. The crystal system is orthorhombic. The total DFT energy (no corrections) is -4.61 eV/atom. The offset from the most stable computed form is 0.111 eV per atom.

abc: 4.7759 4.4034 11.1431
angles: 90.00 90.00 90.00
With the nearest neighbours (Å) after each atom.
Fractional positions:
1 Ca 0.0000 0.0000 0.0000  7 Te 3.21-3.36, 2 Rh 3.25
2 Ca 0.0000 0.5000 0.5000  7 Te 3.21-3.36, 2 Rh 3.25
3 Te 0.0000 0.0000 0.7097  2 Rh 2.60
4 Te 0.0000 0.5000 0.2097  2 Rh 2.60
5 Te 0.5000 0.0000 0.4237  2 Rh 2.58
6 Te 0.5000 0.5000 0.9237  2 Rh 2.58
7 Rh 0.5000 0.0000 0.8025  4 Te 2.58-2.60
8 Rh 0.5000 0.5000 0.3025  4 Te 2.58-2.60